The following is a PBE+U calculation of crystalline TbNi2TeO6 at its relaxed geometry, from the Alexandria database.

```
TbNi2TeO6
1.0
5.430 0.011 0.014
2.706 4.708 0.005
2.701 1.575 4.774
Ni Te O Tb
2 1 6 1
Cartesian
2.701 1.575 4.565
5.419 3.147 2.069
2.711 1.573 0.239
7.251 3.310 1.140
3.889 2.992 3.638
4.648 1.481 1.134
6.043 4.547 3.643
6.313 1.904 3.644
4.366 4.649 1.132
8.129 4.720 2.826
```

Computed properties:
- E: -5.891 eV/atom
- Symmetry: R3, No. 146